Material: LiFe2F7
Method: DFT, GGA+U
State: relaxed

Properties
Space-group type: P2/c
Spin magnetization, Bohr magnetons per cell: 19.9
Distance to the lowest polymorph of the same formula, kJ/mol of formula units: 57

Lattice parameters (Å, degrees): 5.596 5.198 10.060 90.00 100.91 90.00
Fractional coordinates of all 20 atoms:
Li (0.000, 0.021, 0.250)
Li (0.000, 0.979, 0.750)
Fe (0.423, 0.251, 0.568)
Fe (0.423, 0.749, 0.068)
Fe (0.577, 0.251, 0.932)
Fe (0.577, 0.749, 0.432)
F (0.153, 0.103, 0.618)
F (0.153, 0.897, 0.118)
F (0.284, 0.435, 0.978)
F (0.284, 0.565, 0.478)
F (0.358, 0.058, 0.389)
F (0.358, 0.942, 0.889)
F (0.500, 0.404, 0.750)
F (0.500, 0.596, 0.250)
F (0.642, 0.058, 0.111)
F (0.642, 0.942, 0.611)
F (0.716, 0.435, 0.522)
F (0.716, 0.565, 0.022)
F (0.847, 0.103, 0.882)
F (0.847, 0.897, 0.382)